Compound: La3TbDy2Tm6
Source: the Alexandria database
Functional: GGA-PBE
Structure: optimized geometry

The space group is C2/m (No. 12) and the conventional cell measures 6.194, 10.725 and 11.732 Å, with angles of 90.00, 100.11 and 90.00 degrees. The asymmetric unit holds La at (0.000, 0.000, 0.000), La at (0.000, 0.333, 0.000), Tb at (0.000, 0.500, 0.500), Dy at (0.000, 0.167, 0.500), Tm at (0.248, 0.000, 0.744) and Tm at (0.248, 0.333, 0.744).

The energy of formation comes out at 0.03 eV per atom.


Compound: Cs2BSbCl6
Source: the Alexandria database
Functional: GGA-PBE
Structure: optimized geometry

The space group is I4/mmm (No. 139) and the conventional cell measures 7.473, 7.473 and 10.560 Å, with angles of 90.00, 90.00 and 90.00 degrees. The asymmetric unit holds Cs at (0.000, 0.500, 0.250), B at (0.000, 0.000, 0.000), Sb at (0.000, 0.000, 0.500), Cl at (0.000, 0.000, 0.246) and Cl at (0.247, 0.247, 0.000).

For the uncorrected formation energy, the calculation gives -87.57 kJ per mole of atoms.


Compound: Pt3PbI
Source: the Alexandria database
Functional: GGA-PBE
Structure: optimized geometry

The space group is Pm-3m (No. 221) and the conventional cell measures 5.144, 5.144 and 5.144 Å, with angles of 90.00, 90.00 and 90.00 degrees. The asymmetric unit holds Pt at (0.000, 0.000, 0.500), Pb at (0.000, 0.000, 0.000) and I at (0.500, 0.500, 0.500).

For the uncorrected formation energy, the calculation gives 112.53 kJ per mole of atoms.


Compound: SbPb3
Source: the Alexandria database
Functional: GGA-PBE
Structure: optimized geometry

The space group is P-6m2 (No. 187) and the conventional cell measures 3.5150, 3.5150 and 11.4120 Å, with angles of 90.00, 90.00 and 120.00 degrees. The asymmetric unit holds Sb at (0.0000, 0.0000, 0.0000), Pb at (0.0000, 0.0000, 0.5000) and Pb at (0.3333, 0.6667, 0.2443).

For the uncorrected formation energy, the calculation gives 6.65 kJ per mole of atoms.


Compound: BaBeN
Source: the Alexandria database
Functional: GGA-PBE
Structure: optimized geometry

The space group is Pnma (No. 62) and the conventional cell measures 8.230, 4.056 and 7.471 Å, with angles of 90.00, 90.00 and 90.00 degrees. The asymmetric unit holds Ba at (0.162, 0.250, 0.144), Be at (0.027, 0.250, 0.593) and N at (0.081, 0.250, 0.783).

For the uncorrected formation energy, the calculation gives -31.71 kJ per mole of atoms.


Compound: GaAg12Hg3
Source: the Alexandria database
Functional: GGA-PBE
Structure: optimized geometry

The space group is P4/mmm (No. 123) and the conventional cell measures 4.169, 4.169 and 17.104 Å, with angles of 90.00, 90.00 and 90.00 degrees. The asymmetric unit holds Ga at (0.000, 0.000, 0.000), Ag at (0.000, 0.500, 0.119), Ag at (0.000, 0.500, 0.373), Ag at (0.500, 0.500, 0.000), Ag at (0.500, 0.500, 0.246), Ag at (0.500, 0.500, 0.500), Hg at (0.000, 0.000, 0.246) and Hg at (0.000, 0.000, 0.500).

The energy of formation comes out at 0.03 eV per atom.